# 1
{
  "formula": "CoPt2N",
  "functional": "PBE",
  "state": "optimized geometry",
  "lattice_angstrom": [[4.8163, 0.0000, 0.0000], [0.0000, 4.8163, 0.0000], [2.4081, 2.4081, 5.6354]],
  "species": ["N", "Pt", "Co", "Pt", "Pt", "Co", "Pt", "N"],
  "frac_coords": [[0.5000, 0.5000, 0.0000], [0.2150, 0.6250, 0.2500], [0.0000, 0.0000, 0.0000], [0.8750, 0.7850, 0.7500], [0.3750, 0.4650, 0.7500], [0.7500, 0.2500, 0.5000], [0.5350, 0.1250, 0.2500], [0.2500, 0.7500, 0.5000]],
  "magnetic_moment_mub_per_cell": 5.2,
  "final_energy_ev_per_atom": -6.033,
  "density_g_cm3": 11.77,
  "formation_energy_uncorrected_ev_per_atom": 0.85,
  "sg": "No. 122"
}

=====

# 2
{
  "formula": "CoPtN3",
  "functional": "PBE",
  "state": "optimized geometry",
  "lattice_angstrom": [[3.6604, 0.0000, 0.0000], [0.0000, 3.6604, 0.0000], [0.0000, 0.0000, 3.6604]],
  "species": ["Pt", "N", "N", "Co", "N"],
  "frac_coords": [[0.5000, 0.5000, 0.5000], [0.5000, 0.0000, 0.0000], [0.0000, 0.5000, 0.0000], [0.0000, 0.0000, 0.0000], [0.0000, 0.0000, 0.5000]],
  "magnetic_moment_mub_per_cell": 0.0,
  "final_energy_ev_per_atom": -5.899,
  "density_g_cm3": 10.02,
  "formation_energy_uncorrected_ev_per_atom": 1.73,
  "sg": "No. 221"
}

=====

# 3
{
  "formula": "Co2PtN",
  "functional": "PBE",
  "state": "optimized geometry",
  "lattice_angstrom": [[-2.3170, 1.1450, -0.9198], [-0.3984, 0.3145, -2.6959], [-3.9713, -5.9577, -1.5039]],
  "species": ["Pt", "N", "Co", "Co"],
  "frac_coords": [[0.0000, 0.0000, 0.0000], [0.5000, 0.5000, 0.5000], [0.8825, 0.8825, 0.3526], [0.1175, 0.1175, 0.6474]],
  "magnetic_moment_mub_per_cell": 0.0,
  "final_energy_ev_per_atom": -6.861,
  "density_g_cm3": 11.66,
  "formation_energy_uncorrected_ev_per_atom": 0.28,
  "sg": "No. 166"
}

=====

# 4
{
  "formula": "Co2PtN",
  "functional": "PBE",
  "state": "optimized geometry",
  "lattice_angstrom": [[-0.3330, 4.1256, 3.9231], [-5.6893, -0.3845, -0.0786], [-2.9067, -0.1010, 4.0044]],
  "species": ["N", "Co", "Co", "Pt", "Co", "Pt", "N", "Co"],
  "frac_coords": [[0.5000, 0.5000, 0.0000], [0.2404, 0.6250, 0.2500], [0.8750, 0.7596, 0.7500], [0.7500, 0.2500, 0.5000], [0.5096, 0.1250, 0.2500], [0.0000, 0.0000, 0.0000], [0.2500, 0.7500, 0.5000], [0.3750, 0.4904, 0.7500]],
  "magnetic_moment_mub_per_cell": 0.0,
  "final_energy_ev_per_atom": -6.950,
  "density_g_cm3": 11.64,
  "formation_energy_uncorrected_ev_per_atom": 0.19,
  "sg": "No. 122"
}